This record from Alexandria via LeMat-Bulk describes a relaxed structure of H3IrN. The functional is PBE-GGA.

The structure belongs to space group Pm-3m (No. 221); the cell edges are 3.433, 3.433 and 3.433 Å and the angles 90.00°, 90.00° and 90.00°. The distinct sites, in fractional coordinates, are H at (0.000, 0.000, 0.500), Ir at (0.000, 0.000, 0.000) and N at (0.500, 0.500, 0.500).

This record from Alexandria via LeMat-Bulk describes a relaxed structure of Ac3TiTl4S8. The functional is PBE-GGA.

The structure belongs to space group R-3m (No. 166, hexagonal axes); the cell edges are 8.4752, 8.4752 and 22.4430 Å and the angles 90.00°, 90.00° and 120.00°. The distinct sites, in fractional coordinates, are Ac at (0.0000, 0.5000, 0.0000), Ti at (0.0000, 0.0000, 0.0000), Tl at (0.0000, 0.0000, 0.5000), Tl at (0.0000, 0.5000, 0.5000), S at (0.0000, 0.0000, 0.2604) and S at (0.0375, 0.5188, 0.7327).

This record from Alexandria via LeMat-Bulk describes a relaxed structure of NaCaSN2. The functional is PBE-GGA.

The structure belongs to space group P4/mmm (No. 123); the cell edges are 4.717, 4.717 and 5.486 Å and the angles 90.00°, 90.00° and 90.00°. The distinct sites, in fractional coordinates, are Na at (0.000, 0.000, 0.000), Ca at (0.500, 0.500, 0.500), S at (0.500, 0.500, 0.000) and N at (0.000, 0.500, 0.500).

For each record above, in turn, the calculated DFT total energy values are -20.5; -249.7; -19.9 eV per cell.
For each record above, in turn, the calculated magnetization values are 1.9; 1.0; 5.0 μB per formula unit.